The following is a PBE calculation of a relaxed ZrMoSCl2 crystal, from Alexandria.

Cell: 4.742 4.742 4.731 Å, 90.00 90.00 90.00°
Last column: magnetic moment on the atom in μB.
Fractional positions:
Mo1 0.000 0.000 0.000  0.91
S1 0.000 0.000 0.500  -0.02
Zr1 0.500 0.500 0.500  0.12
Cl1 0.000 0.500 0.000  0.02
Cl2 0.500 0.000 0.000  0.02

Calculated values
magnetization	1.26	μB/f.u.
uncorrected formation energy	0.234	eV/atom
energy above the most stable polymorph in this dataset	34.19	kJ per mole of atoms



The following is a PBE calculation of a relaxed Nd2Zn3CdAg4 crystal, from Alexandria.

Cell: 4.209 4.209 12.143 Å, 90.00 90.00 90.00°
Fractional positions:
Nd1 0.500 0.000 0.239
Nd2 0.000 0.500 0.761
Zn1 0.000 0.000 0.500
Zn2 0.500 0.000 0.864
Zn3 0.000 0.500 0.136
Cd1 0.500 0.500 0.500
Ag1 0.500 0.500 0.000
Ag2 0.000 0.000 0.000
Ag3 0.500 0.000 0.651
Ag4 0.000 0.500 0.349

Calculated values
formation energy	-201	kJ/mol of formula units
magnetization	0.00	μB/f.u.



The following is a PBE calculation of a relaxed NaAcAgGe crystal, from Alexandria.

Cell: 5.328 5.328 5.328 Å, 60.00 60.00 60.00°
Fractional positions:
Na1 0.000 0.000 0.000
Ac1 0.500 0.500 0.500
Ge1 0.250 0.250 0.250
Ag1 0.750 0.750 0.750

Calculated values
formation energy	-107	kJ/mol of formula units
magnetization	0.00	μB/f.u.



The following is a PBE calculation of a relaxed Rb3Ca crystal, from Alexandria.

Cell: 7.465 7.465 7.465 Å, 60.00 60.00 60.00°
Fractional positions:
Ca1 0.500 0.500 0.500
Rb1 0.000 0.000 0.000
Rb2 0.750 0.750 0.750
Rb3 0.250 0.250 0.250

Calculated values
formation energy	68	kJ/mol of formula units
magnetization	0.00	μB/f.u.